The following is a DFT calculation (GGA-PBE) of a relaxed structure of DyMgSn2.

Calculated values
- E_form (meV per atom) = -332
- space group = No. 166

abc: 4.8669 4.8669 5.7936
angles: 65.16 65.16 60.00
Element x y z (fractional)
Dy: 0.5000 0.5000 0.5000
Mg: 0.0000 0.0000 0.0000
Sn: 0.7402 0.7402 0.7794
Sn: 0.2598 0.2598 0.2206

***

The following is a DFT calculation (GGA-PBE) of a relaxed structure of PrAg2B2O6.

Calculated values
- raw formation energy (meV per atom) = -1841
- space group = No. 147

abc: 5.4443 5.4443 6.2589
angles: 90.00 90.00 120.00
Each line ends with the local moment (μB).
Element x y z (fractional)
O: 0.2953 0.8994 0.7722  0.10
O: 0.7047 0.1006 0.2278  0.10
O: 0.3959 0.2953 0.2278  0.10
O: 0.6041 0.7047 0.7722  0.10
O: 0.8994 0.6041 0.2278  0.10
O: 0.1006 0.3959 0.7722  0.10
Ag: 0.3333 0.6667 0.3001  0.16
Ag: 0.6667 0.3333 0.6999  0.16
Pr: 0.0000 0.0000 0.0000  0.00
B: 0.6667 0.3333 0.2295  -0.01
B: 0.3333 0.6667 0.7705  -0.01

***

The following is a DFT calculation (GGA-PBE) of a relaxed structure of La5Nd2Th4.

Calculated values
- E_form (meV per atom) = 274
- space group = No. 12

abc: 3.4895 9.5660 12.1979
angles: 85.24 98.22 90.00
Element x y z (fractional)
La: 0.1553 0.0696 0.3106
La: 0.1235 0.4650 0.2470
La: 0.8447 0.9304 0.6894
La: 0.5000 0.0000 0.0000
La: 0.8765 0.5350 0.7530
Th: 0.0009 0.3254 0.0019
Th: 0.3875 0.2151 0.7749
Th: 0.6125 0.7849 0.2251
Th: 0.9991 0.6746 0.9981
Nd: 0.7400 0.6808 0.4800
Nd: 0.2600 0.3192 0.5200

***

The following is a DFT calculation (GGA-PBE) of a relaxed structure of SrTeIr2.

Calculated values
- raw formation energy (meV per atom) = -124
- space group = No. 166

abc: 5.9833 5.9833 5.9833
angles: 44.78 44.78 44.78
Element x y z (fractional)
Te: 0.7500 0.7500 0.7500
Ir: 0.0542 0.0542 0.0542
Ir: 0.4458 0.4458 0.4458
Sr: 0.2500 0.2500 0.2500

***

The following is a DFT calculation (GGA-PBE) of a relaxed structure of La8Tc3I4F.

Calculated values
- raw formation energy (meV per atom) = -820
- space group = No. 166

abc: 8.4264 9.5622 8.4229
angles: 116.13 120.01 90.00
Element x y z (fractional)
F: 0.0000 0.5000 0.0000
I: 0.5000 0.0000 0.0000
I: 0.0000 0.0000 0.5000
I: 0.0000 0.0000 0.0000
I: 0.5000 0.0000 0.5000
La: 0.7155 0.6808 0.9480
La: 0.7677 0.3192 0.5353
La: 0.2325 0.6808 0.9480
La: 0.2323 0.6808 0.4647
La: 0.7675 0.3192 0.0520
La: 0.7326 0.6979 0.4652
La: 0.2845 0.3192 0.0520
La: 0.2674 0.3021 0.5348
Tc: 0.5000 0.5000 0.5000
Tc: 0.5000 0.5000 0.0000
Tc: 0.0000 0.5000 0.5000

***

The following is a DFT calculation (GGA-PBE) of a relaxed structure of Y2Mg3Cd.

Calculated values
- E_form (meV per atom) = -158
- space group = No. 69

abc: 6.1470 6.1470 9.5022
angles: 101.15 101.15 113.71
Element x y z (fractional)
Mg: 0.1688 0.6636 0.8324
Mg: 0.8312 0.3364 0.1676
Mg: 0.6636 0.1688 0.8324
Mg: 0.3364 0.8312 0.1676
Mg: 0.8324 0.8324 0.6649
Mg: 0.1676 0.1676 0.3351
Y: 0.2509 0.2509 0.0000
Y: 0.7500 0.2500 0.5000
Y: 0.2500 0.7500 0.5000
Y: 0.7491 0.7491 0.0000
Cd: 0.6664 0.6664 0.3329
Cd: 0.3336 0.3336 0.6671

***

The following is a DFT calculation (GGA-PBE) of a relaxed structure of LaTaAl.

Calculated values
- E_form (meV per atom) = 1327
- space group = No. 216

abc: 4.9358 4.9358 4.9358
angles: 60.00 60.00 60.00
Each line ends with the local moment (μB).
Element x y z (fractional)
La: 0.2500 0.2500 0.2500  0.30
Ta: 0.0000 0.0000 0.0000  1.40
Al: 0.5000 0.5000 0.5000  -0.04

***

The following is a DFT calculation (GGA-PBE) of a relaxed structure of La2SnCl.

Calculated values
- raw formation energy (meV per atom) = -803
- space group = No. 225

abc: 6.0286 6.0286 6.0286
angles: 60.00 60.00 60.00
Each line ends with the local moment (μB).
Element x y z (fractional)
La: 0.2500 0.2500 0.2500  0.21
La: 0.7500 0.7500 0.7500  0.21
Cl: 0.0000 0.0000 0.0000  0.00
Sn: 0.5000 0.5000 0.5000  -0.04

***

The following is a DFT calculation (GGA-PBE) of a relaxed structure of KZnNi2.

Calculated values
- E_form (meV per atom) = 379
- space group = No. 10

abc: 4.1232 2.6803 6.9391
angles: 80.53 90.00 90.00
Each line ends with the local moment (μB).
Element x y z (fractional)
Ni: 0.0000 0.4858 0.3979  0.17
Ni: 0.0000 0.0142 0.1021  0.17
K: 0.5000 0.7500 0.7500  0.00
Zn: 0.5000 0.2500 0.2500  -0.01

***

The following is a DFT calculation (GGA-PBE) of a relaxed structure of PaNO.

Calculated values
- raw formation energy (meV per atom) = -2744
- space group = No. 216

abc: 3.8300 3.8300 3.8300
angles: 60.00 60.00 60.00
Element x y z (fractional)
Pa: 0.2500 0.2500 0.2500
N: 0.5000 0.5000 0.5000
O: 0.0000 0.0000 0.0000

***

The following is a DFT calculation (GGA-PBE) of a relaxed structure of Ce2Si4Ir3Os.

Calculated values
- raw formation energy (meV per atom) = -968
- space group = No. 115

abc: 4.1997 4.1997 9.7772
angles: 90.00 90.00 90.00
Each line ends with the local moment (μB).
Element x y z (fractional)
Si: 0.5000 0.0000 0.6258  0.00
Si: 0.0000 0.5000 0.3742  0.00
Si: 0.5000 0.5000 0.0000  0.00
Si: 0.0000 0.0000 0.0000  0.00
Ce: 0.0000 0.5000 0.7533  0.24
Ce: 0.5000 0.0000 0.2467  0.24
Ir: 0.5000 0.0000 0.8733  -0.01
Ir: 0.0000 0.0000 0.5000  0.00
Ir: 0.0000 0.5000 0.1267  -0.01
Os: 0.5000 0.5000 0.5000  0.00

***

The following is a DFT calculation (GGA-PBE) of a relaxed structure of AlS2F.

Calculated values
- raw formation energy (meV per atom) = 197
- space group = No. 166

abc: 8.8349 8.8349 8.8349
angles: 17.85 17.85 17.85
Element x y z (fractional)
S: 0.9091 0.9091 0.9091
S: 0.0909 0.0909 0.0909
F: 0.5000 0.5000 0.5000
Al: 0.0000 0.0000 0.0000

***

Respective E_tot values: -3.883 -6.712 -5.530 -5.760 -5.731 -3.262 -5.514 -4.730 -3.105 -10.337 -8.105 -3.270 eV per atom.